Record 1
Computed, not measured: crystalline ZrCr2Pt at its relaxed geometry at the GGA-PBE level of DFT.

```
ZrCr2Pt
1.0
9.3027 -0.0068 -0.0040
8.8484 2.8714 -0.0040
8.8484 1.3965 2.5090
Cr Pt Zr
2 1 1
direct
0.9941 0.9941 0.9941
0.5059 0.5059 0.5059
0.2500 0.2500 0.2500
0.7500 0.7500 0.7500
```

Properties
ΔE_f: 0.365 eV per atom

Record 2
Computed, not measured: crystalline AlH3O3 at its relaxed geometry at the GGA-PBE level of DFT.

```
AlH3O3
1.0
-1.9149 -4.4829 -1.4751
7.9745 -3.6134 0.6293
-1.7223 -2.2309 9.0157
Al H O
8 24 24
direct
0.0340 0.8349 0.5135
0.4660 0.3349 0.4865
0.5340 0.1651 0.9865
0.9660 0.6651 0.0135
0.9660 0.1651 0.4865
0.5340 0.6651 0.5135
0.4660 0.8349 0.0135
0.0340 0.3349 0.9865
0.8220 0.4588 0.6087
0.6780 0.9588 0.3913
0.3220 0.5412 0.8913
0.1780 0.0412 0.1087
0.1780 0.5412 0.3913
0.3220 0.0412 0.6087
0.6780 0.4588 0.1087
0.8220 0.9588 0.8913
0.6616 0.8844 0.6848
0.8384 0.3844 0.3152
0.1616 0.1156 0.8152
0.3384 0.6156 0.1848
0.3384 0.1156 0.3152
0.1616 0.6156 0.6848
0.8384 0.8844 0.1848
0.6616 0.3844 0.8152
0.1681 0.3081 0.6913
0.3319 0.8081 0.3087
0.6681 0.6919 0.8087
0.8319 0.1919 0.1913
0.8319 0.6919 0.3087
0.6681 0.1919 0.6913
0.3319 0.3081 0.1913
0.1681 0.8081 0.8087
0.6329 0.4824 0.6102
0.8671 0.9824 0.3898
0.1329 0.5176 0.8898
0.3671 0.0176 0.1102
0.3671 0.5176 0.3898
0.1329 0.0176 0.6102
0.8671 0.4824 0.1102
0.6329 0.9824 0.8898
0.7345 0.8008 0.6289
0.7655 0.3008 0.3711
0.2345 0.1992 0.8711
0.2655 0.6992 0.1289
0.2655 0.1992 0.3711
0.2345 0.6992 0.6289
0.7655 0.8008 0.1289
0.7345 0.3008 0.8711
0.1412 0.3284 0.5900
0.3588 0.8284 0.4100
0.6412 0.6716 0.9100
0.8588 0.1716 0.0900
0.8588 0.6716 0.4100
0.6412 0.1716 0.5900
0.3588 0.3284 0.0900
0.1412 0.8284 0.9100
```

Properties
electronic total energy: -327.442 eV per cell